# 1
# PBE-GGA Sr2AuO4, optimized geometry
data_Sr2AuO4
_cell_length_a 6.958
_cell_length_b 6.958
_cell_length_c 6.958
_cell_angle_alpha 119.98
_cell_angle_beta 90.03
_cell_angle_gamma 119.98
_space_group_name_H-M_alt 'P 1'
_space_group_IT_number 1
loop_
_space_group_symop_operation_xyz
'x,y,z'
loop_
_atom_site_label
_atom_site_type_symbol
_atom_site_fract_x
_atom_site_fract_y
_atom_site_fract_z
O1 O 0.627 0.747 0.374
O2 O 0.123 0.247 0.370
O3 O 0.630 0.753 0.877
O4 O 0.626 0.253 0.373
O5 O 0.120 0.747 0.373
O6 O 0.123 0.753 0.876
O7 O 0.627 0.253 0.880
O8 O 0.124 0.247 0.877
Sr1 Sr 0.375 0.750 0.625
Sr2 Sr 0.875 0.250 0.625
Sr3 Sr 0.375 0.250 0.625
Sr4 Sr 0.375 0.750 0.125
Au1 Au 0.750 0.500 0.250
Au2 Au 0.000 0.000 0.000
# SG	Fd-3m, No. 227
# calculated volume	238	Å³/cell
# energy	-4.954	eV/atom

***

# 2
# PBE-GGA SrAuO3, optimized geometry
data_SrAuO3
_cell_length_a 5.795
_cell_length_b 5.795
_cell_length_c 6.129
_cell_angle_alpha 61.79
_cell_angle_beta 61.79
_cell_angle_gamma 60.00
_space_group_name_H-M_alt 'P 1'
_space_group_IT_number 1
loop_
_space_group_symop_operation_xyz
'x,y,z'
loop_
_atom_site_label
_atom_site_type_symbol
_atom_site_fract_x
_atom_site_fract_y
_atom_site_fract_z
O1 O 0.055 0.462 0.782
O2 O 0.299 0.945 0.218
O3 O 0.701 0.055 0.782
O4 O 0.945 0.538 0.218
O5 O 0.538 0.299 0.218
O6 O 0.462 0.701 0.782
Sr1 Sr 0.868 0.868 0.395
Sr2 Sr 0.132 0.132 0.605
Au1 Au 0.341 0.341 0.976
Au2 Au 0.659 0.659 0.024
# SG	R-3, No. 148
# calculated volume	149	Å³/cell
# energy	-4.967	eV/atom

***

# 3
# PBE-GGA SrAuO3, optimized geometry
data_SrAuO3
_cell_length_a 4.034
_cell_length_b 4.034
_cell_length_c 4.212
_cell_angle_alpha 90.00
_cell_angle_beta 90.00
_cell_angle_gamma 90.00
_space_group_name_H-M_alt 'P 1'
_space_group_IT_number 1
loop_
_space_group_symop_operation_xyz
'x,y,z'
loop_
_atom_site_label
_atom_site_type_symbol
_atom_site_fract_x
_atom_site_fract_y
_atom_site_fract_z
O1 O 0.000 0.500 0.627
O2 O 0.500 0.500 0.062
O3 O 0.500 0.000 0.627
Sr1 Sr 0.000 0.000 0.033
Au1 Au 0.500 0.500 0.551
# SG	P4mm, No. 99
# calculated volume	69	Å³/cell
# energy	-4.985	eV/atom

***

# 4
# PBE-GGA SrAuO3, optimized geometry
data_SrAuO3
_cell_length_a 5.783
_cell_length_b 5.937
_cell_length_c 7.910
_cell_angle_alpha 90.00
_cell_angle_beta 90.00
_cell_angle_gamma 90.00
_space_group_name_H-M_alt 'P 1'
_space_group_IT_number 1
loop_
_space_group_symop_operation_xyz
'x,y,z'
loop_
_atom_site_label
_atom_site_type_symbol
_atom_site_fract_x
_atom_site_fract_y
_atom_site_fract_z
Au1 Au 0.000 0.500 0.500
Au2 Au 0.500 0.000 0.000
Au3 Au 0.000 0.500 0.000
Au4 Au 0.500 0.000 0.500
O1 O 0.293 0.710 0.954
O2 O 0.707 0.290 0.454
O3 O 0.793 0.790 0.454
O4 O 0.597 0.037 0.750
O5 O 0.403 0.963 0.250
O6 O 0.097 0.463 0.250
O7 O 0.793 0.790 0.046
O8 O 0.207 0.210 0.546
O9 O 0.293 0.710 0.546
O10 O 0.903 0.537 0.750
O11 O 0.707 0.290 0.046
O12 O 0.207 0.210 0.954
Sr1 Sr 0.513 0.551 0.250
Sr2 Sr 0.987 0.051 0.250
Sr3 Sr 0.487 0.449 0.750
Sr4 Sr 0.013 0.949 0.750
# SG	Pnma, No. 62
# calculated volume	272	Å³/cell
# energy	-5.079	eV/atom

***

# 5
# PBE-GGA SrAuO3, optimized geometry
data_SrAuO3
_cell_length_a 5.637
_cell_length_b 5.637
_cell_length_c 5.637
_cell_angle_alpha 62.94
_cell_angle_beta 62.94
_cell_angle_gamma 62.94
_space_group_name_H-M_alt 'P 1'
_space_group_IT_number 1
loop_
_space_group_symop_operation_xyz
'x,y,z'
loop_
_atom_site_label
_atom_site_type_symbol
_atom_site_fract_x
_atom_site_fract_y
_atom_site_fract_z
O1 O 0.750 0.332 0.168
O2 O 0.168 0.750 0.332
O3 O 0.332 0.168 0.750
O4 O 0.832 0.250 0.668
O5 O 0.668 0.832 0.250
O6 O 0.250 0.668 0.832
Sr1 Sr 0.250 0.250 0.250
Sr2 Sr 0.750 0.750 0.750
Au1 Au 0.500 0.500 0.500
Au2 Au 0.000 0.000 0.000
# SG	R-3c, No. 167
# calculated volume	135	Å³/cell
# energy	-5.062	eV/atom

***

# 6
# PBE-GGA SrAuO3, optimized geometry
data_SrAuO3
_cell_length_a 6.166
_cell_length_b 6.182
_cell_length_c 8.373
_cell_angle_alpha 90.00
_cell_angle_beta 90.00
_cell_angle_gamma 90.00
_space_group_name_H-M_alt 'P 1'
_space_group_IT_number 1
loop_
_space_group_symop_operation_xyz
'x,y,z'
loop_
_atom_site_label
_atom_site_type_symbol
_atom_site_fract_x
_atom_site_fract_y
_atom_site_fract_z
Sr1 Sr 0.000 0.500 0.500
Sr2 Sr 0.000 0.500 0.000
Sr3 Sr 0.500 0.000 0.500
Sr4 Sr 0.500 0.000 0.000
O1 O 0.365 0.799 0.250
O2 O 0.653 0.345 0.090
O3 O 0.153 0.155 0.590
O4 O 0.865 0.701 0.750
O5 O 0.635 0.201 0.750
O6 O 0.653 0.345 0.410
O7 O 0.135 0.299 0.250
O8 O 0.847 0.845 0.090
O9 O 0.847 0.845 0.410
O10 O 0.347 0.655 0.590
O11 O 0.153 0.155 0.910
O12 O 0.347 0.655 0.910
Au1 Au 0.467 0.463 0.750
Au2 Au 0.967 0.037 0.250
Au3 Au 0.033 0.963 0.750
Au4 Au 0.533 0.537 0.250
# SG	Pnma, No. 62
# calculated volume	319	Å³/cell
# energy	-4.830	eV/atom